# 1
# TlCdPb3

A relaxed TlCdPb3 crystal (PBE, Alexandria).

Cell: 5.955 5.955 11.248 Å, 74.65 74.65 60.00°
Element x y z (fractional)
Tl1 0.331 0.331 0.008
Tl2 0.669 0.669 0.992
Cd1 0.168 0.168 0.495
Cd2 0.832 0.832 0.505
Pb1 0.093 0.414 0.737
Pb2 0.756 0.093 0.737
Pb3 0.586 0.244 0.263
Pb4 0.244 0.907 0.263
Pb5 0.907 0.586 0.263
Pb6 0.414 0.756 0.737

Values from the calculation:
Formation energy ... 106 meV/atom
Fermi-level density of states ... 0.653 states/eV per atom
VASP energy ... -2.78 eV per atom
Crystal system ... trigonal
Space-group type ... R-3 (148)

---

# 2
# LaTb2PuSe4

A relaxed LaTb2PuSe4 crystal (PBE, Alexandria).

Cell: 4.141 7.215 7.238 Å, 109.16 90.00 90.00°
Site moments in Bohr magnetons follow the coordinates.
Element x y z (fractional)
La1 0.000 0.000 0.000  -0.06
Tb1 0.500 0.000 0.500  0.03
Tb2 0.000 0.500 0.500  -0.04
Pu1 0.500 0.500 0.000  -5.50
Se1 0.500 0.259 0.262  0.01
Se2 0.500 0.741 0.738  0.01
Se3 0.000 0.252 0.742  0.03
Se4 0.000 0.748 0.258  0.03

Values from the calculation:
Formation energy from raw total energies ... -1.78 eV/atom
Fermi-level density of states ... 1.252 states/eV per atom
VASP energy ... -7.09 eV per atom
Crystal system ... monoclinic
Space-group type ... P2/m (10)